## Ti2TcSn2 (PBE-GGA)

Data for crystalline Ti2TcSn2 at its relaxed geometry.

abc: 7.029 7.029 3.810
angles: 90.00 90.00 90.00
Space group P4/mbm (No. 127)
One atom of each set of equivalent atoms:
Ti: 0.160 0.340 0.000 [4 per cell]
Tc: 0.000 0.000 0.500 [2 per cell]
Sn: 0.144 0.644 0.500 [4 per cell]

As for the formation energy: -0.06 eV/atom.


## Na2SrNiH6 (PBE-GGA)

Data for crystalline Na2SrNiH6 at its relaxed geometry.

abc: 5.0327 5.0327 6.3281
angles: 90.00 90.00 120.00
Space group P-3m1 (No. 164)
One atom of each set of equivalent atoms:
Na: 0.3333 0.6667 0.3923 [2 per cell]
Sr: 0.0000 0.0000 0.0000 [1 per cell]
Ni: 0.0000 0.0000 0.5000 [1 per cell]
H: 0.1430 0.2861 0.6519 [6 per cell]


## TlNi2W2 (PBE-GGA)

Data for crystalline TlNi2W2 at its relaxed geometry.

abc: 7.379 7.379 2.830
angles: 90.00 90.00 90.00
Space group P4/mbm (No. 127)
One atom of each set of equivalent atoms:
Tl: 0.000 0.000 0.000 [2 per cell]
Ni: 0.121 0.379 0.000 [4 per cell]
W: 0.167 0.667 0.500 [4 per cell]

As for the formation energy: 0.58 eV/atom. The value obtained for the distance to the lowest polymorph of the same formula is 18 meV/atom.


## CuP2HS (PBE-GGA)

Data for crystalline CuP2HS at its relaxed geometry.

abc: 3.568 3.568 5.104
angles: 90.00 90.00 90.00
Space group P4/mmm (No. 123)
One atom of each set of equivalent atoms:
Cu: 0.000 0.000 0.000 [1 per cell]
P: 0.000 0.500 0.500 [2 per cell]
H: 0.500 0.500 0.500 [1 per cell]
S: 0.500 0.500 0.000 [1 per cell]

The value obtained for the distance to the lowest polymorph of the same formula is 0 meV/atom.


In the order shown, the computed E values come out to -34.45; -32.09; -36.95; -18.73 eV per formula unit.